This record from Alexandria describes a geometry-optimized Ac4La2Sm structure. The functional is PBE.

Results
Distance to the lowest polymorph of the same formula (eV per atom): 0.0000
Total moment (Bohr magnetons per cell): 0.00
Formation enthalpy at 0 K (eV per formula unit): 1.40

Cell: 3.767 6.307 12.726 Å, 104.35 90.00 90.00°
Fractional coordinates of all 7 atoms:
Ac (0.000, 0.078, 0.155)
La (0.500, 0.216, 0.432)
Ac (0.000, 0.922, 0.845)
Sm (0.000, 0.500, 0.000)
La (0.500, 0.784, 0.568)
Ac (0.500, 0.364, 0.728)
Ac (0.500, 0.636, 0.272)

This record from Alexandria describes a geometry-optimized HfTaGa2Ge structure. The functional is PBE.

Results
Total moment (Bohr magnetons per cell): 0.00
Formation enthalpy at 0 K (eV per formula unit): 6.24

Cell: 4.959 4.946 4.959 Å, 90.00 90.00 90.00°
Fractional coordinates of all 5 atoms:
Ge (0.000, 0.500, 0.000)
Hf (0.000, 0.000, 0.000)
Ga (0.000, 0.000, 0.500)
Ga (0.500, 0.000, 0.000)
Ta (0.500, 0.500, 0.500)

This record from Alexandria describes a geometry-optimized VGaSn structure. The functional is PBE.

Results
Distance to the lowest polymorph of the same formula (eV per atom): 0.0000
Total moment (Bohr magnetons per cell): 0.00
Formation enthalpy at 0 K (eV per formula unit): -0.21

Cell: 4.022 5.318 10.555 Å, 90.00 90.00 90.00°
Fractional coordinates of all 12 atoms:
Sn (0.750, 0.118, 0.718)
Ga (0.250, 0.122, 0.037)
Ga (0.750, 0.878, 0.963)
V (0.750, 0.393, 0.947)
Ga (0.750, 0.622, 0.463)
V (0.250, 0.607, 0.053)
V (0.250, 0.893, 0.553)
Sn (0.750, 0.382, 0.218)
Sn (0.250, 0.618, 0.782)
Ga (0.250, 0.378, 0.537)
Sn (0.250, 0.882, 0.282)
V (0.750, 0.107, 0.447)

This record from Alexandria describes a geometry-optimized Sc2GaAu structure. The functional is PBE.

Results
Total moment (Bohr magnetons per cell): 0.00
Formation enthalpy at 0 K (eV per formula unit): -2.82

Cell: 3.341 3.341 6.981 Å, 90.00 90.00 90.00°
Fractional coordinates of all 4 atoms:
Sc (0.000, 0.000, 0.251)
Au (0.500, 0.500, 0.500)
Ga (0.500, 0.500, 0.000)
Sc (0.000, 0.000, 0.749)

This record from Alexandria describes a geometry-optimized In3ReAu structure. The functional is PBE.

Results
Distance to the lowest polymorph of the same formula (eV per atom): 0.0000
Total moment (Bohr magnetons per cell): 0.88
Formation enthalpy at 0 K (eV per formula unit): 3.43

Cell: 5.213 5.213 5.213 Å, 90.00 90.00 90.00°
Each line ends with the local moment (μB).
Fractional coordinates of all 5 atoms:
In (0.500, 0.000, 0.000)  0.00
In (0.000, 0.500, 0.000)  0.00
Re (0.000, 0.000, 0.000)  0.63
In (0.000, 0.000, 0.500)  0.00
Au (0.500, 0.500, 0.500)  0.10

This record from Alexandria describes a geometry-optimized Nd4Ge8Pd structure. The functional is PBE.

Results
Total moment (Bohr magnetons per cell): 0.00
Formation enthalpy at 0 K (eV per formula unit): -8.44

Cell: 4.085 4.215 17.107 Å, 90.00 90.00 90.00°
Fractional coordinates of all 13 atoms:
Ge (0.500, 0.000, 0.235)
Pd (0.000, 0.000, 0.319)
Ge (0.000, 0.500, 0.236)
Nd (0.000, 0.000, 0.101)
Ge (0.000, 0.000, 0.465)
Ge (0.500, 0.000, 0.557)
Nd (0.500, 0.500, 0.399)
Ge (0.000, 0.500, 0.946)
Nd (0.500, 0.000, 0.893)
Ge (0.500, 0.500, 0.755)
Nd (0.000, 0.500, 0.610)
Ge (0.500, 0.500, 0.040)
Ge (0.000, 0.000, 0.748)

This record from Alexandria describes a geometry-optimized Ho3Si2Pt3 structure. The functional is PBE.

Results
Formation energy (no corrections) (eV/atom): -1.200
Total moment (Bohr magnetons per cell): 0.00

Cell: 5.568 7.582 14.906 Å, 90.00 90.00 90.00°
Fractional coordinates of all 32 atoms:
Pt (0.404, 0.673, 0.962)
Ho (0.634, 0.032, 0.609)
Ho (0.604, 0.327, 0.250)
Ho (0.366, 0.968, 0.109)
Ho (0.134, 0.468, 0.391)
Pt (0.904, 0.827, 0.462)
Pt (0.406, 0.684, 0.250)
Ho (0.134, 0.468, 0.109)
Ho (0.396, 0.673, 0.750)
Si (0.366, 0.379, 0.895)
Si (0.366, 0.379, 0.605)
Si (0.634, 0.621, 0.395)
Pt (0.596, 0.327, 0.462)
Pt (0.096, 0.173, 0.538)
Si (0.634, 0.621, 0.105)
Ho (0.104, 0.173, 0.750)
Ho (0.634, 0.032, 0.891)
Si (0.866, 0.121, 0.105)
Pt (0.904, 0.827, 0.038)
Pt (0.906, 0.816, 0.750)
Pt (0.094, 0.184, 0.250)
Ho (0.866, 0.532, 0.891)
Ho (0.896, 0.827, 0.250)
Ho (0.366, 0.968, 0.391)
Si (0.866, 0.121, 0.395)
Pt (0.594, 0.316, 0.750)
Pt (0.404, 0.673, 0.538)
Pt (0.596, 0.327, 0.038)
Si (0.134, 0.879, 0.605)
Pt (0.096, 0.173, 0.962)
Si (0.134, 0.879, 0.895)
Ho (0.866, 0.532, 0.609)

This record from Alexandria describes a geometry-optimized ZnCr2Au structure. The functional is PBE.

Results
Total moment (Bohr magnetons per cell): 0.00
Formation enthalpy at 0 K (eV per formula unit): 1.07

Cell: 4.903 4.903 3.616 Å, 68.37 68.37 43.39°
Fractional coordinates of all 4 atoms:
Zn (0.750, 0.750, 0.750)
Au (0.250, 0.250, 0.250)
Cr (0.500, 0.500, 0.500)
Cr (0.000, 0.000, 0.000)

What is the formula in the fifth record?
In3ReAu